# PBE LaAuSO, optimized geometry
data_LaAuSO
_cell_length_a 5.839
_cell_length_b 9.168
_cell_length_c 5.854
_cell_angle_alpha 90.00
_cell_angle_beta 90.00
_cell_angle_gamma 90.00
_space_group_name_H-M_alt 'P c c a'
_space_group_IT_number 54
loop_
_space_group_symop_operation_xyz
'x,y,z'
'-x,-y,-z'
'-x+1/2,-y,z'
'x+1/2,y,-z'
'x+1/2,-y,-z+1/2'
'-x+1/2,y,z+1/2'
'-x,y,-z+1/2'
'x,-y,z+1/2'
loop_
_atom_site_label
_atom_site_type_symbol
_atom_site_fract_x
_atom_site_fract_y
_atom_site_fract_z
La1 La 0.000 0.132 0.250
Au1 Au 0.250 0.500 0.243
S1 S 0.000 0.293 0.750
O1 O 0.250 0.000 0.000
# E_tot in eV per cell: -101.175
# Crystal system: orthorhombic

=====

# PBE LaAuSO, optimized geometry
data_LaAuSO
_cell_length_a 6.226
_cell_length_b 9.239
_cell_length_c 6.019
_cell_angle_alpha 90.00
_cell_angle_beta 90.00
_cell_angle_gamma 90.00
_space_group_name_H-M_alt 'P c a 21'
_space_group_IT_number 29
loop_
_space_group_symop_operation_xyz
'x,y,z'
'-x,-y,z+1/2'
'-x+1/2,y,z+1/2'
'x+1/2,-y,z'
loop_
_atom_site_label
_atom_site_type_symbol
_atom_site_fract_x
_atom_site_fract_y
_atom_site_fract_z
La1 La 0.017 0.207 0.000
Au1 Au 0.076 0.624 0.037
S1 S 0.009 0.869 0.992
O1 O 0.120 0.409 0.085
# E_tot in eV per cell: -93.793
# Crystal system: orthorhombic

=====

Question: What is the E_tot in the second record?
Answer: -93.793 eV per cell

=====

Question: Look up the E_tot of the first one.
Answer: -101.175 eV per cell